Entry P
Crystalline Zr2Hg2B at its relaxed geometry, computed with PBE.

extended XYZ file:
```
10
Lattice="-2.289 -5.697 -1.660 2.797 -2.605 5.084 -3.960 0.832 2.605" Properties=species:S:1:pos:R:3 pbc="T T T"
B 0.000 0.000 0.000
B 0.254 -4.151 1.712
Hg 1.573 -4.158 3.719
Hg -0.096 -6.517 1.934
Hg -1.065 -4.144 -0.296
Hg 0.605 -1.785 1.489
Zr -0.496 -2.287 4.422
Zr -1.185 -5.559 4.418
Zr -2.956 -5.183 1.607
Zr -2.266 -1.911 1.610
```

Results
magnetization	0.0	μB per cell
SG	No. 127

=====

Entry Q
Crystalline Zr2Hg2B at its relaxed geometry, computed with PBE.

extended XYZ file:
```
5
Lattice="3.960 0.000 0.000 0.000 3.960 0.000 1.980 1.980 7.409" Properties=species:S:1:pos:R:3 pbc="T T T"
B 0.000 0.000 0.000
Hg 1.980 1.980 1.373
Hg 3.960 3.960 6.036
Zr 3.960 1.980 3.704
Zr 1.980 3.960 3.704
```

Results
magnetization	0.0	μB per cell
SG	No. 139

=====

The most stable of them is entry P.

=====

Entry P
Crystalline HoB2 at its relaxed geometry, computed with PBE.

extended XYZ file:
```
6
Lattice="-2.424 -2.433 -0.903 1.459 -0.255 -3.228 3.957 -2.823 3.965" Properties=species:S:1:pos:R:3 pbc="T T T"
Ho 0.525 -3.300 0.499
Ho 0.000 0.000 0.000
B 1.920 -1.556 -0.963
B 0.064 -2.000 -1.767
B 3.013 -2.867 -0.365
B 2.928 -3.512 1.601
```

Results
magnetization	0.0	μB per cell
SG	No. 141

=====

Entry Q
Crystalline HoB2 at its relaxed geometry, computed with PBE.

extended XYZ file:
```
3
Lattice="2.840 0.000 0.000 0.000 2.840 0.000 -1.420 -1.420 4.567" Properties=species:S:1:pos:R:3 pbc="T T T"
B 1.420 1.420 1.964
B 0.000 0.000 2.603
Ho 0.000 0.000 0.000
```

Results
magnetization	0.0	μB per cell
SG	No. 139

=====

The most stable of them is entry P.

=====

Entry P
Crystalline HoB6 at its relaxed geometry, computed with PBE.

extended XYZ file:
```
7
Lattice="-0.548 -1.964 -3.826 2.252 -2.593 2.646 -3.872 0.846 1.757" Properties=species:S:1:pos:R:3 pbc="T T T"
Ho 0.000 0.000 0.000
B -0.384 -2.012 1.907
B 0.447 -2.715 0.511
B -1.915 -1.153 1.685
B -1.784 -1.698 -1.329
B -2.615 -0.995 0.066
B -0.253 -2.558 -1.107
```

Results
magnetization	0.0	μB per cell
SG	No. 229

=====

Entry Q
Crystalline HoB6 at its relaxed geometry, computed with PBE.

extended XYZ file:
```
7
Lattice="4.091 0.000 0.000 0.000 4.091 0.000 0.000 0.000 4.091" Properties=species:S:1:pos:R:3 pbc="T T T"
Ho 0.000 0.000 0.000
B 0.813 2.045 2.045
B 2.045 3.277 2.045
B 2.045 0.813 2.045
B 3.277 2.045 2.045
B 2.045 2.045 0.813
B 2.045 2.045 3.277
```

Results
magnetization	0.0	μB per cell
SG	No. 221

=====

The most stable of them is entry Q.

=====

Entry P
Crystalline HoB4Ir4 at its relaxed geometry, computed with PBE.

extended XYZ file:
```
18
Lattice="5.401 0.000 0.000 0.000 5.401 0.000 0.000 0.000 7.468" Properties=species:S:1:pos:R:3 pbc="T T T"
Ho 0.000 0.000 0.000
Ho 2.701 2.701 3.734
B 2.701 4.471 6.323
B 2.701 0.931 6.323
B 4.471 2.701 1.145
B 0.931 2.701 1.145
B 1.770 0.000 2.589
B 3.631 0.000 2.589
B 0.000 1.770 4.879
B 0.000 3.631 4.879
Ir 1.355 2.701 6.390
Ir 4.046 2.701 6.390
Ir 2.701 4.046 1.078
Ir 2.701 1.355 1.078
Ir 0.000 4.056 2.656
Ir 0.000 1.346 2.656
Ir 1.346 0.000 4.812
Ir 4.056 0.000 4.812
```

Results
magnetization	0.0	μB per cell
SG	No. 137

=====

Entry Q
Crystalline HoB4Ir4 at its relaxed geometry, computed with PBE.

extended XYZ file:
```
18
Lattice="-0.993 3.772 -0.850 -6.586 -2.413 -3.010 -3.357 0.653 6.823" Properties=species:S:1:pos:R:3 pbc="T T T"
Ho 0.000 0.000 0.000
Ho -5.468 1.006 1.482
B -7.089 0.456 -1.163
B -4.070 2.401 3.937
B -7.438 -1.024 2.050
B -5.749 3.030 3.519
B -5.959 1.909 -1.214
B -2.741 0.897 -0.091
B -7.973 0.270 3.245
B -2.728 0.109 1.573
Ir -5.611 1.220 4.726
Ir -7.713 2.421 3.142
Ir -5.100 -0.064 -1.569
Ir -3.215 0.439 3.579
Ir -8.691 0.597 1.304
Ir -6.954 -1.343 0.041
Ir -3.991 2.506 -0.835
Ir -2.471 2.272 1.467
```

Results
magnetization	0.0	μB per cell
SG	No. 86

=====

The most stable of them is entry Q.

=====

Entry P
Crystalline Ho2BIr3 at its relaxed geometry, computed with PBE.

extended XYZ file:
```
6
Lattice="-3.158 -0.701 -3.693 -4.618 -0.497 1.591 -2.701 3.999 -0.901" Properties=species:S:1:pos:R:3 pbc="T T T"
Ho -3.911 1.046 -1.121
Ho -6.566 1.756 -1.882
B 0.000 0.000 0.000
Ir -1.351 1.999 -0.451
Ir -1.579 -0.351 -1.846
Ir -2.309 -0.248 0.796
```

Results
magnetization	0.0	μB per cell
SG	No. 166

=====

Entry Q
Crystalline Ho2BIr3 at its relaxed geometry, computed with PBE.

extended XYZ file:
```
6
Lattice="3.194 0.000 0.000 0.000 5.269 0.000 -1.597 -2.634 6.352" Properties=species:S:1:pos:R:3 pbc="T T T"
Ho 1.597 0.000 2.362
Ho 0.000 2.634 3.990
B 0.000 2.634 0.000
Ir 0.000 0.000 4.940
Ir 0.000 0.000 0.000
Ir 1.597 2.634 1.413
```

Results
magnetization	0.0	μB per cell
SG	No. 71

=====

The most stable of them is entry P.

=====

Entry P
Crystalline LiHoB4 at its relaxed geometry, computed with PBE.

extended XYZ file:
```
24
Lattice="-2.772 1.995 1.156 1.018 -1.804 5.558 6.975 8.780 1.572" Properties=species:S:1:pos:R:3 pbc="T T T"
Li 1.231 -0.391 3.629
Li 6.762 7.367 3.501
Li 3.028 3.414 1.369
Li 4.966 3.562 5.760
Ho 3.067 1.933 4.021
Ho 4.926 5.043 3.109
Ho 1.184 1.105 0.932
Ho 6.810 5.871 6.197
B 0.715 1.218 5.236
B 4.507 7.753 3.049
B 1.091 3.235 2.656
B 4.131 5.736 5.628
B -0.297 -0.306 5.441
B 5.519 9.277 2.844
B 2.269 4.466 3.355
B 2.953 4.505 4.930
B 2.686 3.392 6.209
B 2.536 5.579 2.076
B -0.677 0.703 2.787
B 5.899 8.268 5.498
B 1.746 1.933 6.475
B 3.476 7.038 1.809
B 0.445 1.839 3.518
B 4.777 7.132 4.767
```

Results
magnetization	0.0	μB per cell
SG	No. 55

=====

Entry Q
Crystalline LiHoB4 at its relaxed geometry, computed with PBE.

extended XYZ file:
```
6
Lattice="-3.944 -1.940 1.086 -0.250 -4.492 0.506 -0.587 -1.785 4.119" Properties=species:S:1:pos:R:3 pbc="T T T"
B -2.624 -4.212 1.822
B -2.754 -3.172 3.210
B -2.850 -4.897 3.404
B -1.334 -4.152 2.987
Ho -1.195 -2.054 1.428
Li 0.000 0.000 0.000
```

Results
magnetization	0.0	μB per cell
SG	No. 216

=====

The most stable of them is entry P.

=====

Entry P
Crystalline HoBN2 at its relaxed geometry, computed with PBE.

extended XYZ file:
```
4
Lattice="3.610 0.000 0.000 1.805 3.126 0.000 1.805 1.042 4.996" Properties=species:S:1:pos:R:3 pbc="T T T"
B 0.000 0.000 0.000
Ho 3.610 2.084 2.498
N 1.805 1.042 3.655
N 5.415 3.126 1.341
```

Results
magnetization	0.0	μB per cell
SG	No. 166

=====

Entry Q
Crystalline HoBN2 at its relaxed geometry, computed with PBE.

extended XYZ file:
```
16
Lattice="-1.366 -4.266 -1.757 3.373 -2.398 3.202 -5.280 -0.458 5.218" Properties=species:S:1:pos:R:3 pbc="T T T"
Ho -1.968 -1.870 2.776
Ho -4.581 -2.118 5.410
Ho -1.305 -5.253 3.887
Ho 1.308 -5.005 1.253
B -2.096 -3.017 5.660
B 1.097 -3.181 3.576
B -1.177 -4.107 1.003
B -4.370 -3.942 3.087
N -0.695 -3.347 5.373
N 1.366 -2.706 2.214
N -2.578 -3.776 1.290
N -4.638 -4.417 4.449
N -0.266 -2.925 4.016
N -2.522 -3.428 6.989
N -3.007 -4.198 2.647
N -0.751 -3.696 -0.326
```

Results
magnetization	0.0	μB per cell
SG	No. 62

=====

The most stable of them is entry P.

=====

Entry P
Crystalline HoNb2B6 at its relaxed geometry, computed with PBE.

extended XYZ file:
```
9
Lattice="-1.141 2.959 -0.511 -5.597 -0.132 1.634 0.136 2.689 5.173" Properties=species:S:1:pos:R:3 pbc="T T T"
Ho -3.301 2.758 3.148
Nb -1.266 1.415 0.923
Nb -5.336 4.101 5.374
B -3.392 0.614 1.034
B -3.210 4.902 5.262
B -6.230 3.416 3.398
B -0.769 2.244 4.615
B -4.692 0.313 2.193
B -0.372 2.101 2.899
```

Results
magnetization	0.0	μB per cell
SG	No. 71

=====

Entry Q
Crystalline HoNb2B6 at its relaxed geometry, computed with PBE.

extended XYZ file:
```
9
Lattice="3.490 0.000 0.000 0.000 4.733 -2.733 0.000 0.000 5.465" Properties=species:S:1:pos:R:3 pbc="T T T"
Ho 0.000 0.000 0.000
Nb 0.000 1.578 2.733
Nb 0.000 3.155 0.000
B 1.745 1.602 0.925
B 1.745 3.131 1.808
B 1.745 0.000 3.615
B 1.745 3.131 -1.808
B 1.745 1.602 -0.925
B 1.745 0.000 1.850
```

Results
magnetization	0.0	μB per cell
SG	No. 191

=====

The most stable of them is entry Q.